Record 1
A geometry-optimized LiFeBr2 structure. Source: Alexandria, functional PBE.

a b c (Å): 3.6602 3.6602 16.4393
angles (deg): 90.00 90.00 90.00
Space group I-4m2 (No. 119)
Unique sites:
Li 0.0000 0.0000 0.0000 [2 per cell]
Fe 0.0000 0.5000 0.2500 [2 per cell]
Br 0.0000 0.0000 0.5000 [2 per cell]
Br 0.0000 0.5000 0.7500 [2 per cell]

* uncorrected energy: -30.35 eV per cell
* D(E_F): 2.868 states/eV/f.u.
* relative energy among the computed polymorphs: 164 meV/atom

***

Record 2
A geometry-optimized LiPaCl5 structure. Source: Alexandria, functional PBE.

a b c (Å): 10.5337 10.0226 10.2186
angles (deg): 90.00 119.09 90.00
Space group C2/c (No. 15)
Unique sites:
Li 0.0000 0.1361 0.2500 [4 per cell]
Pa 0.2500 0.2500 0.0000 [4 per cell]
Cl 0.0000 0.3320 0.7500 [4 per cell]
Cl 0.1238 0.2856 0.1641 [8 per cell]
Cl 0.1665 0.0001 0.4558 [8 per cell]

* uncorrected energy: -134.27 eV per cell
* D(E_F): 1.501 states/eV/f.u.

***

Record 3
A geometry-optimized Ce3PuPb2 structure. Source: Alexandria, functional PBE.

a b c (Å): 3.5240 5.6171 18.0529
angles (deg): 90.00 90.00 90.00
Space group Immm (No. 71)
Unique sites:
Ce 0.0000 0.0000 0.0000 [2 per cell]
Ce 0.0000 0.5000 0.1608 [4 per cell]
Pu 0.0000 0.5000 0.0000 [2 per cell]
Pb 0.0000 0.5000 0.3391 [4 per cell]

* uncorrected energy: -79.42 eV per cell
* D(E_F): 14.086 states/eV/f.u.
* ΔE_f: -0.026 eV per atom

***

Record 4
A geometry-optimized CdSi3Pt structure. Source: Alexandria, functional PBE.

a b c (Å): 4.7756 4.7756 4.7756
angles (deg): 90.00 90.00 90.00
Space group Pm-3m (No. 221)
Unique sites:
Cd 0.0000 0.0000 0.0000 [1 per cell]
Si 0.0000 0.5000 0.5000 [3 per cell]
Pt 0.5000 0.5000 0.5000 [1 per cell]

* uncorrected energy: -20.76 eV per cell
* D(E_F): 2.444 states/eV/f.u.
* relative energy among the computed polymorphs: 0 meV/atom

***

Record 5
A geometry-optimized Sr3Pr2HoTe6 structure. Source: Alexandria, functional PBE.

a b c (Å): 7.8903 13.6432 8.0627
angles (deg): 90.00 109.06 90.00
Space group C2/m (No. 12)
Unique sites:
Sr 0.0000 0.0000 0.0000 [2 per cell]
Sr 0.0000 0.3294 0.0000 [4 per cell]
Pr 0.0000 0.1653 0.5000 [4 per cell]
Ho 0.0000 0.5000 0.5000 [2 per cell]
Te 0.2404 0.3382 0.7373 [8 per cell]
Te 0.2423 0.5000 0.2596 [4 per cell]

* uncorrected energy: -112.84 eV per cell
* D(E_F): 5.313 states/eV/f.u.

***

Record 6
A geometry-optimized ScAl2Ir2 structure. Source: Alexandria, functional PBE.

a b c (Å): 3.7439 3.7439 12.0816
angles (deg): 90.00 90.00 90.00
Space group I4/mmm (No. 139)
Unique sites:
Sc 0.0000 0.0000 0.0000 [2 per cell]
Al 0.0000 0.5000 0.2500 [4 per cell]
Ir 0.0000 0.0000 0.3904 [4 per cell]

* uncorrected energy: -70.94 eV per cell
* D(E_F): 2.046 states/eV/f.u.
* ΔE_f: -0.787 eV per atom
* relative energy among the computed polymorphs: 83 meV/atom

***

Record 7
A geometry-optimized In5HgCl5 structure. Source: Alexandria, functional PBE.

a b c (Å): 13.7967 6.2556 9.0724
angles (deg): 90.00 109.16 90.00
Space group C2/m (No. 12)
Unique sites:
In 0.0000 0.0000 0.0000 [2 per cell]
In 0.1597 0.5000 0.3494 [4 per cell]
In 0.1605 0.5000 0.8261 [4 per cell]
Hg 0.0000 0.5000 0.0000 [2 per cell]
Cl 0.0000 0.5000 0.5000 [2 per cell]
Cl 0.1680 0.0000 0.8543 [4 per cell]
Cl 0.1811 0.0000 0.3317 [4 per cell]

* uncorrected energy: -61.88 eV per cell
* D(E_F): 1.506 states/eV/f.u.

***

Record 8
A geometry-optimized KRu2Se structure. Source: Alexandria, functional PBE.

a b c (Å): 5.7287 10.6613 2.7557
angles (deg): 90.00 117.95 90.00
Space group C2/m (No. 12)
Unique sites:
K 0.0000 0.0000 0.0000 [2 per cell]
Ru 0.2500 0.2500 0.0000 [4 per cell]
Se 0.0000 0.5000 0.0000 [2 per cell]

* uncorrected energy: -39.00 eV per cell
* D(E_F): 4.810 states/eV/f.u.

***

Record 9
A geometry-optimized TcBAs2 structure. Source: Alexandria, functional PBE.

a b c (Å): 5.4228 5.4228 9.4044
angles (deg): 90.00 90.00 90.00
Space group I-42d (No. 122)
Unique sites:
Tc 0.0000 0.0000 0.0000 [4 per cell]
B 0.0000 0.0000 0.5000 [4 per cell]
As 0.1979 0.2500 0.6250 [8 per cell]

* uncorrected energy: -98.89 eV per cell
* D(E_F): 2.661 states/eV/f.u.
* ΔE_f: 0.405 eV per atom

***

Record 10
A geometry-optimized Zn3Cu3Pd structure. Source: Alexandria, functional PBE.

a b c (Å): 6.3182 6.3182 17.3048
angles (deg): 90.00 90.00 120.00
Space group R-3 (No. 148, hexagonal axes)
Unique sites:
Zn 0.0231 0.2574 0.0618 [18 per cell]
Cu 0.0483 0.2707 0.2058 [18 per cell]
Pd 0.0000 0.0000 0.3372 [6 per cell]

* uncorrected energy: -130.13 eV per cell
* D(E_F): 1.866 states/eV/f.u.
* ΔE_f: -0.055 eV per atom
* relative energy among the computed polymorphs: 27 meV/atom

***

Number 1: spin magnetization 0.78 μB/atom, V 220.24 Å³/cell. Number 2: spin magnetization 0.14 μB/atom, V 942.78 Å³/cell. Number 3: spin magnetization 1.55 μB/atom, V 357.34 Å³/cell. Number 4: spin magnetization 0.00 μB/atom, V 108.91 Å³/cell. Number 5: spin magnetization 0.00 μB/atom, V 820.37 Å³/cell. Number 6: spin magnetization 0.00 μB/atom, V 169.34 Å³/cell. Number 7: spin magnetization 0.00 μB/atom, V 739.66 Å³/cell. Number 8: spin magnetization 0.54 μB/atom, V 148.67 Å³/cell. Number 9: spin magnetization 0.00 μB/atom, V 276.55 Å³/cell. Number 10: spin magnetization 0.00 μB/atom, V 598.25 Å³/cell.